[1]
SrHN3 GGA-PBE optimized geometry; SG = Pm-3m, No. 221; DFT total energy = -3.498 eV/atom
1.0
5.072 0.000 0.000
0.000 5.072 0.000
0.000 0.000 5.072
Sr H N
1 1 3
direct
0.000 0.000 0.000
0.500 0.500 0.500
0.000 0.000 0.500
0.000 0.500 0.000
0.500 0.000 0.000

[2]
Sr5TaH2N4 GGA-PBE optimized geometry; SG = Amm2, No. 38; DFT total energy = -5.833 eV/atom
1.0
7.531 0.000 0.000
0.000 5.069 3.060
0.000 -5.069 3.060
Sr Ta H N
5 1 2 4
direct
0.000 0.000 0.000
0.275 0.292 0.647
0.275 0.647 0.292
0.725 0.292 0.647
0.725 0.647 0.292
0.500 0.981 0.981
0.000 0.484 0.976
0.000 0.976 0.484
0.291 0.176 0.176
0.500 0.633 0.952
0.500 0.952 0.633
0.709 0.176 0.176

[3]
SrVHN2 GGA-PBE optimized geometry; SG = P4/mmm, No. 123; DFT total energy = -6.809 eV/atom
1.0
3.889 0.000 0.000
0.000 3.889 0.000
0.000 0.000 3.791
Sr V H N
1 1 1 2
direct
0.000 0.000 0.000
0.500 0.500 0.500
0.500 0.500 0.000
0.000 0.500 0.500
0.500 0.000 0.500

[4]
Sr5VH2N4 GGA-PBE optimized geometry; SG = Amm2, No. 38; DFT total energy = -5.521 eV/atom
1.0
7.442 0.000 0.000
0.000 4.907 3.024
0.000 -4.907 3.024
Sr V H N
5 1 2 4
direct
0.000 0.000 0.000
0.277 0.302 0.661
0.277 0.661 0.302
0.723 0.302 0.661
0.723 0.661 0.302
0.500 0.990 0.990
0.000 0.515 0.987
0.000 0.987 0.515
0.300 0.171 0.171
0.500 0.655 0.962
0.500 0.962 0.655
0.700 0.171 0.171

[5]
SrHWN2 GGA-PBE optimized geometry; SG = P4/mmm, No. 123; DFT total energy = -7.512 eV/atom
1.0
4.040 0.000 0.000
0.000 4.040 0.000
0.000 0.000 3.797
Sr H W N
1 1 1 2
direct
0.000 0.000 0.000
0.500 0.500 0.000
0.500 0.500 0.500
0.000 0.500 0.500
0.500 0.000 0.500

[6]
Sr5H2WN4 GGA-PBE optimized geometry; SG = Amm2, No. 38; DFT total energy = -5.799 eV/atom
1.0
7.540 0.000 0.000
0.000 5.094 3.047
0.000 -5.094 3.047
Sr H W N
5 2 1 4
direct
0.000 0.000 0.000
0.267 0.282 0.636
0.267 0.636 0.282
0.733 0.282 0.636
0.733 0.636 0.282
0.000 0.413 0.961
0.000 0.961 0.413
0.500 0.963 0.963
0.303 0.156 0.156
0.500 0.629 0.940
0.500 0.940 0.629
0.697 0.156 0.156

> Which of these has the lowest DFT total energy?

SrHWN2